1.
Density functional theory data (PBE) for a relaxed RbCd2Au2 crystal.

a = 8.885 Å, b = 8.885 Å, c = 3.023 Å
α = 90.00°, β = 90.00°, γ = 90.00°
Space group P4/mbm (No. 127)
Inequivalent atoms, fractional coordinates:
Rb: 0.000 0.000 0.000
Cd: 0.123 0.377 0.000
Au: 0.172 0.672 0.500

Output
Total DFT energy (no corrections): -0.149 Ry per atom
E_form: -0.162 eV per atom
Polymorph energy (0 for the lowest one): 68 meV/atom

2.
Density functional theory data (PBE) for a relaxed Ni2AgCl crystal.

a = 5.165 Å, b = 2.979 Å, c = 7.804 Å
α = 90.00°, β = 102.82°, γ = 90.00°
Space group C2/m (No. 12)
Inequivalent atoms, fractional coordinates:
Ni: 0.242 0.000 0.228
Ag: 0.000 0.000 0.500
Cl: 0.000 0.500 0.000

Output
Total DFT energy (no corrections): -0.276 Ry per atom
Polymorph energy (0 for the lowest one): 168 meV/atom
ΔE_f (raw): 0.314 eV per atom

3.
Density functional theory data (PBE) for a relaxed ThMg3Pd crystal.

a = 5.489 Å, b = 5.489 Å, c = 18.319 Å
α = 90.00°, β = 90.00°, γ = 90.00°
Space group I-4m2 (No. 119)
Inequivalent atoms, fractional coordinates:
Th: 0.000 0.000 0.202
Mg: 0.000 0.247 0.620
Mg: 0.000 0.500 0.043
Pd: 0.000 0.000 0.500
Pd: 0.000 0.500 0.750

Output
Total DFT energy (no corrections): -0.255 Ry per atom
E_form: 0.004 eV per atom